Compound: CsRb2MgBr6
Source: Alexandria
Functional: PBE-GGA
Structure: relaxed

a b c (Å): 12.1053 12.1053 12.1053
angles (deg): 90.00 90.00 90.00
Space group Fm-3m (No. 225)
Inequivalent atoms, fractional coordinates:
Cs 0.0000 0.0000 0.0000 (multiplicity 4)
Rb 0.2500 0.2500 0.2500 (multiplicity 8)
Mg 0.0000 0.0000 0.5000 (multiplicity 4)
Br 0.0000 0.0000 0.2811 (multiplicity 24)

Calculated values
For the energy relative to the elements, uncorrected, the calculation gives -13.52 eV per formula unit. Its total energy is -2.7936 eV/atom.